(1)
## CrSbMo2 (PBE-GGA)

Data for a relaxed structure of CrSbMo2.

Formation energy from raw total energies (eV/atom): 0.3574
Total magnetization (μB/f.u.): 0.0
Raw total energy (eV/atom): -8.4946
DOS(E_F) (states/eV per cell): 3.65

The structure in extended XYZ format:
```
4
Lattice="2.989 0.000 0.000 0.000 4.367 0.000 -1.342 0.000 5.053" Properties=species:S:1:pos:R:3 pbc="T T T"
Cr 0.000 0.000 0.000
Sb -0.883 2.183 3.583
Mo 0.683 0.000 2.223
Mo 1.838 2.183 0.904
```

***

(2)
## Pr4InHg2Pt (PBE-GGA)

Data for a relaxed structure of Pr4InHg2Pt.

Total magnetization (μB/f.u.): 0.0
Raw total energy (eV/atom): -4.1745
DOS(E_F) (states/eV per cell): 7.51
Energy of formation from the pure elements (meV/atom): -612

The structure in extended XYZ format:
```
8
Lattice="2.708 1.563 8.742 -2.708 1.563 8.742 0.000 -3.127 8.742" Properties=species:S:1:pos:R:3 pbc="T T T"
Pr 0.000 0.000 2.998
Pr 0.000 0.000 9.631
Pr 0.000 0.000 16.594
Pr 0.000 0.000 23.227
In 0.000 0.000 13.112
Hg 0.000 0.000 6.279
Hg 0.000 0.000 19.945
Pt 0.000 0.000 0.000
```

***

(3)
## La9Ir4Rh2 (PBE-GGA)

Data for a relaxed structure of La9Ir4Rh2.

Total magnetization (μB/f.u.): 0.0
Raw total energy (eV/atom): -6.9695
DOS(E_F) (states/eV per cell): 13.90
Energy of formation from the pure elements (meV/atom): -670

The structure in extended XYZ format:
```
30
Lattice="7.228 0.000 0.000 -3.614 6.259 0.000 0.000 0.000 19.922" Properties=species:S:1:pos:R:3 pbc="T T T"
La 6.016 2.096 1.657
La -1.209 2.098 8.303
La -1.212 2.100 14.941
La -2.402 4.160 4.980
La 4.823 4.162 11.618
La -2.402 4.163 18.264
La 2.422 0.001 1.657
La -1.192 6.258 8.303
La 2.425 0.000 14.941
La 1.212 2.100 4.980
La 1.212 2.096 11.618
La 1.209 2.098 18.264
La 4.803 0.000 4.980
La 4.806 0.001 11.618
La 1.192 6.258 18.264
La 2.404 4.162 1.657
La 2.402 4.163 8.303
La 2.402 4.160 14.941
Ir 0.000 4.173 0.019
Ir 0.000 4.173 3.311
Ir 0.000 4.173 9.979
Ir 0.000 4.173 13.272
Ir 3.614 2.086 6.650
Ir 3.614 2.086 9.942
Ir 3.614 2.086 16.610
Ir 3.614 2.086 19.903
Rh 0.000 0.000 3.379
Rh 0.000 0.000 6.581
Rh 0.000 0.000 13.340
Rh 0.000 0.000 16.542
```

***

(4)
## Rb4Y3ErTe8 (PBE-GGA)

Data for a relaxed structure of Rb4Y3ErTe8.

Formation energy from raw total energies (eV/atom): -1.3923
Total magnetization (μB/f.u.): 0.0
Raw total energy (eV/atom): -4.7022

The structure in extended XYZ format:
```
16
Lattice="4.521 2.610 8.547 -4.521 2.610 8.547 0.000 -5.220 8.547" Properties=species:S:1:pos:R:3 pbc="T T T"
Rb 0.000 0.000 0.000
Rb -2.260 -1.305 8.547
Rb -2.260 1.305 17.094
Rb 0.000 2.610 8.547
Y -4.521 0.000 12.821
Y -2.260 1.305 4.274
Y 2.260 1.305 4.274
Er 0.000 0.000 12.821
Te 0.000 0.000 5.982
Te -2.247 -1.297 14.521
Te 0.000 -2.594 11.121
Te -2.247 1.297 11.121
Te 2.247 -1.297 14.521
Te 0.000 2.594 14.521
Te 2.247 1.297 11.121
Te 0.000 0.000 19.660
```

***

(5)
## Li2GeBi (PBE-GGA)

Data for a relaxed structure of Li2GeBi.

E above lowest polymorph (meV/atom): 233
Total magnetization (μB/f.u.): 0.0
Raw total energy (eV/atom): -3.1234
DOS(E_F) (states/eV per cell): 2.00
Energy of formation from the pure elements (meV/atom): -42

The structure in extended XYZ format:
```
4
Lattice="2.011 1.161 6.396 -2.011 1.161 6.396 0.000 -2.322 6.396" Properties=species:S:1:pos:R:3 pbc="T T T"
Li 0.000 0.000 0.000
Li 0.000 0.000 2.830
Ge 0.000 0.000 7.985
Bi 0.000 0.000 10.827
```

***

(6)
## Na2PuAgSe4 (PBE-GGA)

Data for a relaxed structure of Na2PuAgSe4.

Formation energy from raw total energies (eV/atom): -0.8982
Total magnetization (μB/f.u.): 3.1
Raw total energy (eV/atom): -5.1182
DOS(E_F) (states/eV per cell): 9.21

The structure in extended XYZ format:
```
8
Lattice="6.714 0.000 0.000 0.000 4.180 0.000 -2.381 0.000 7.083" Properties=species:S:1:pos:R:3 pbc="T T T"
Na 0.000 0.000 0.000
Na 3.357 2.090 0.000
Pu -1.191 2.090 3.542
Ag 2.166 0.000 3.542
Se -0.101 0.000 5.145
Se 1.035 2.090 1.921
Se 3.298 2.090 5.162
Se 4.433 0.000 1.938
```

***

(7)
## Nd5MgRh4 (PBE-GGA)

Data for a relaxed structure of Nd5MgRh4.

Total magnetization (μB/f.u.): 0.0
Raw total energy (eV/atom): -5.9879
DOS(E_F) (states/eV per cell): 6.86
Energy of formation from the pure elements (meV/atom): -504

The structure in extended XYZ format:
```
10
Lattice="8.711 -2.183 0.000 8.711 2.183 0.000 -2.420 0.000 6.826" Properties=species:S:1:pos:R:3 pbc="T T T"
Nd 0.000 0.000 0.000
Nd 3.344 0.000 6.335
Nd 5.044 0.000 3.114
Nd 9.957 0.000 3.712
Nd 11.657 0.000 0.490
Mg -1.210 0.000 3.413
Rh 0.555 0.000 5.493
Rh 7.729 0.000 1.783
Rh 7.273 0.000 5.043
Rh 14.447 0.000 1.333
```

***

(8)
## La2Tb3Tm2 (PBE-GGA)

Data for a relaxed structure of La2Tb3Tm2.

E above lowest polymorph (meV/atom): 0
Total magnetization (μB/f.u.): 0.0
Raw total energy (eV/atom): -4.6479
DOS(E_F) (states/eV per cell): 9.55
Energy of formation from the pure elements (meV/atom): 22

The structure in extended XYZ format:
```
7
Lattice="3.606 0.000 0.000 -1.795 5.906 0.000 -0.005 -1.021 10.746" Properties=species:S:1:pos:R:3 pbc="T T T"
La 0.002 2.182 3.807
La 1.805 2.702 6.938
Tb 0.001 3.284 10.012
Tb 1.801 -0.511 5.373
Tb 1.806 1.601 0.733
Tm 0.000 0.019 8.485
Tm 1.807 4.866 2.261
```

***

(9)
## Y2ErPu (PBE-GGA)

Data for a relaxed structure of Y2ErPu.

E above lowest polymorph (meV/atom): 101
Total magnetization (μB/f.u.): 7.0
Raw total energy (eV/atom): -7.7574
DOS(E_F) (states/eV per cell): 10.45
Energy of formation from the pure elements (meV/atom): 198

The structure in extended XYZ format:
```
4
Lattice="0.000 3.954 3.954 3.954 0.000 3.954 3.954 3.954 0.000" Properties=species:S:1:pos:R:3 pbc="T T T"
Y 1.977 1.977 1.977
Y 5.930 5.930 5.930
Er 0.000 0.000 0.000
Pu 3.954 3.954 3.954
```

***

(10)
## Sb2SeBr (PBE-GGA)

Data for a relaxed structure of Sb2SeBr.

E above lowest polymorph (meV/atom): 114
Formation energy from raw total energies (eV/atom): -0.0254
Total magnetization (μB/f.u.): 0.0
Raw total energy (eV/atom): -3.3759
DOS(E_F) (states/eV per cell): 1.85

The structure in extended XYZ format:
```
4
Lattice="3.437 0.000 0.000 0.000 4.561 0.000 -0.090 0.000 7.542" Properties=species:S:1:pos:R:3 pbc="T T T"
Sb -0.010 0.000 1.649
Sb 3.357 0.000 5.893
Se 0.000 2.280 0.000
Br -0.045 2.280 3.771
```

***

(11)
## Cu4AuCl (PBE-GGA)

Data for a relaxed structure of Cu4AuCl.

Formation energy from raw total energies (eV/atom): 0.2952
Total magnetization (μB/f.u.): 0.0
Raw total energy (eV/atom): -3.2896
DOS(E_F) (states/eV per cell): 2.67

The structure in extended XYZ format:
```
6
Lattice="0.000 3.548 3.548 3.548 0.000 3.548 3.548 3.548 0.000" Properties=species:S:1:pos:R:3 pbc="T T T"
Cu 0.886 0.886 0.886
Cu 2.663 2.663 0.886
Cu 2.663 0.886 2.663
Cu 0.886 2.663 2.663
Au 5.323 5.323 5.323
Cl 3.548 3.548 3.548
```

***

(12)
## Be2GeBi (PBE-GGA)

Data for a relaxed structure of Be2GeBi.

E above lowest polymorph (meV/atom): 0
Total magnetization (μB/f.u.): 0.0
Raw total energy (eV/atom): -3.6039
DOS(E_F) (states/eV per cell): 2.36
Energy of formation from the pure elements (meV/atom): 384

The structure in extended XYZ format:
```
8
Lattice="-2.302 2.302 7.145 2.302 -2.302 7.145 2.302 2.302 -7.145" Properties=species:S:1:pos:R:3 pbc="T T T"
Be 3.453 0.711 -1.786
Be 0.711 1.151 1.786
Be -1.151 1.591 5.358
Be 1.591 1.151 8.931
Ge 0.000 0.000 0.000
Ge 0.000 2.302 3.572
Bi 2.302 0.000 3.572
Bi 0.000 0.000 7.145
```